# 1
A plane-wave DFT calculation with PBE-GGA was carried out for an optimized crystal structure of Cu2Pd2Pt5.

Summary:
N(E_F), states/eV/f.u.: 14.08
Mass density, g cm⁻³: 16.30
ΔH_f (0 K), eV per atom: -0.077
Distance to the lowest polymorph of the same formula, meV per atom: 0.0

a b c (Å): 3.9300 7.2813 6.1516
angles (deg): 126.12 90.00 105.66
Fractional positions:
Pt (0.0000, 0.0000, 0.0000)
Pt (0.4396, 0.8792, 0.2166)
Pt (0.5604, 0.1208, 0.7834)
Pt (0.8848, 0.7696, 0.4307)
Pt (0.1152, 0.2304, 0.5693)
Cu (0.2223, 0.4445, 0.1089)
Cu (0.7777, 0.5555, 0.8911)
Pd (0.3326, 0.6652, 0.6639)
Pd (0.6674, 0.3348, 0.3361)


# 2
A plane-wave DFT calculation with PBE-GGA was carried out for an optimized crystal structure of TlSBr2N.

Summary:
N(E_F), states/eV/f.u.: 2.07
Energy relative to the elements, uncorrected, meV/atom: 338
Mass density, g cm⁻³: 5.57
Distance to the lowest polymorph of the same formula, meV per atom: 0.0

a b c (Å): 5.9852 3.4166 5.9852
angles (deg): 90.00 90.00 90.00
Fractional positions:
Br (0.5000, 0.0000, 0.0000)
Br (0.0000, 0.0000, 0.5000)
Tl (0.5000, 0.5000, 0.5000)
S (0.0000, 0.0000, 0.0000)
N (0.0000, 0.5000, 0.0000)


# 3
A plane-wave DFT calculation with PBE-GGA was carried out for an optimized crystal structure of Fe2TeCl.

Summary:
N(E_F), states/eV/f.u.: 4.06
Energy relative to the elements, uncorrected, meV/atom: 391
Mass density, g cm⁻³: 5.93
Distance to the lowest polymorph of the same formula, meV per atom: 547.5

a b c (Å): 3.3959 3.3959 6.6723
angles (deg): 90.00 90.00 90.00
Each line ends with the local moment (μB).
Fractional positions:
Fe (0.0000, 0.0000, 0.0594)  2.76
Fe (0.0000, 0.0000, 0.4406)  2.76
Te (0.5000, 0.5000, 0.2500)  -0.01
Cl (0.5000, 0.5000, 0.7500)  0.10